Here is MgInSiO4 after structural relaxation from Alexandria via LeMat-Bulk. Energies are from GGA-PBE.

The structure in POSCAR format:
```
MgInSiO4
1.0
-2.945 3.194 4.320
2.945 -3.194 4.320
2.945 3.194 -4.320
Mg In Si O
2 2 2 8
direct
0.000 0.000 0.000 Mg
0.500 0.000 0.500 Mg
0.500 0.000 0.000 In
0.500 0.500 0.500 In
0.120 0.370 0.750 Si
0.880 0.630 0.250 Si
0.206 0.746 0.460 O
0.214 0.254 0.960 O
0.232 0.245 0.514 O
0.232 0.718 0.986 O
0.768 0.282 0.014 O
0.768 0.755 0.486 O
0.786 0.746 0.040 O
0.794 0.254 0.540 O
```

E_tot, eV per atom: -6.30
E_form (uncorrected), eV per atom: -2.0694
Fermi-level density of states, states/eV/f.u.: 1.71

***

Here is Ac6Co2CuBr3 after structural relaxation from Alexandria via LeMat-Bulk. Energies are from GGA-PBE.

The structure in POSCAR format:
```
Ac6Co2CuBr3
1.0
3.733 -6.469 0.000
3.733 6.469 0.000
-2.486 0.000 8.240
Ac Co Cu Br
6 2 1 3
direct
0.085 0.436 0.807 Ac
0.213 0.213 0.193 Ac
0.436 0.085 0.807 Ac
0.564 0.915 0.193 Ac
0.787 0.787 0.807 Ac
0.915 0.564 0.193 Ac
0.167 0.833 0.000 Co
0.833 0.167 0.000 Co
0.500 0.500 0.000 Cu
0.000 0.000 0.500 Br
0.333 0.667 0.500 Br
0.667 0.333 0.500 Br
```

E_tot, eV per atom: -4.75
E_form (uncorrected), eV per atom: -0.7493
Fermi-level density of states, states/eV/f.u.: 7.35

***

Here is Np3Bi5Se12 after structural relaxation from Alexandria via LeMat-Bulk. Energies are from GGA-PBE.

The structure in POSCAR format:
```
Np3Bi5Se12
1.0
-8.603 8.603 8.603
8.603 -8.603 8.603
8.603 8.603 -8.603
Np Bi Se
12 20 48
direct
0.125 0.250 0.375 Np
0.125 0.375 0.750 Np
0.250 0.375 0.125 Np
0.250 0.875 0.625 Np
0.375 0.125 0.250 Np
0.375 0.750 0.125 Np
0.625 0.250 0.875 Np
0.625 0.875 0.750 Np
0.750 0.125 0.375 Np
0.750 0.625 0.875 Np
0.875 0.625 0.250 Np
0.875 0.750 0.625 Np
0.000 0.000 0.000 Bi
0.000 0.000 0.500 Bi
0.000 0.500 0.000 Bi
0.000 0.500 0.500 Bi
0.125 0.750 0.875 Bi
0.125 0.875 0.250 Bi
0.250 0.125 0.875 Bi
0.250 0.625 0.375 Bi
0.375 0.250 0.625 Bi
0.375 0.625 0.750 Bi
0.500 0.000 0.000 Bi
0.500 0.000 0.500 Bi
0.500 0.500 0.000 Bi
0.500 0.500 0.500 Bi
0.625 0.375 0.250 Bi
0.625 0.750 0.375 Bi
0.750 0.375 0.625 Bi
0.750 0.875 0.125 Bi
0.875 0.125 0.750 Bi
0.875 0.250 0.125 Bi
0.057 0.225 0.141 Se
0.057 0.332 0.917 Se
0.083 0.641 0.415 Se
0.083 0.943 0.668 Se
0.085 0.725 0.668 Se
0.085 0.859 0.417 Se
0.141 0.057 0.225 Se
0.141 0.583 0.915 Se
0.168 0.225 0.585 Se
0.168 0.443 0.583 Se
0.225 0.141 0.057 Se
0.225 0.585 0.168 Se
0.275 0.332 0.915 Se
0.275 0.443 0.359 Se
0.332 0.915 0.275 Se
0.332 0.917 0.057 Se
0.359 0.275 0.443 Se
0.359 0.585 0.917 Se
0.415 0.083 0.641 Se
0.415 0.832 0.775 Se
0.417 0.085 0.859 Se
0.417 0.832 0.557 Se
0.443 0.359 0.275 Se
0.443 0.583 0.168 Se
0.557 0.417 0.832 Se
0.557 0.641 0.725 Se
0.583 0.168 0.443 Se
0.583 0.915 0.141 Se
0.585 0.168 0.225 Se
0.585 0.917 0.359 Se
0.641 0.415 0.083 Se
0.641 0.725 0.557 Se
0.668 0.083 0.943 Se
0.668 0.085 0.725 Se
0.725 0.557 0.641 Se
0.725 0.668 0.085 Se
0.775 0.415 0.832 Se
0.775 0.859 0.943 Se
0.832 0.557 0.417 Se
0.832 0.775 0.415 Se
0.859 0.417 0.085 Se
0.859 0.943 0.775 Se
0.915 0.141 0.583 Se
0.915 0.275 0.332 Se
0.917 0.057 0.332 Se
0.917 0.359 0.585 Se
0.943 0.668 0.083 Se
0.943 0.775 0.859 Se
```

E_tot, eV per atom: -5.50
E_form (uncorrected), eV per atom: -0.4975
Fermi-level density of states, states/eV/f.u.: 20.24

***

Here is Cs3PrHo2S6 after structural relaxation from Alexandria via LeMat-Bulk. Energies are from GGA-PBE.

The structure in POSCAR format:
```
Cs3PrHo2S6
1.0
3.598 -6.231 0.000
3.598 6.231 0.000
-2.400 0.000 8.078
Cs Pr Ho S
3 1 2 6
direct
0.000 0.000 0.000 Cs
0.335 0.665 0.000 Cs
0.665 0.335 0.000 Cs
0.500 0.500 0.500 Pr
0.167 0.833 0.500 Ho
0.833 0.167 0.500 Ho
0.094 0.439 0.317 S
0.216 0.216 0.683 S
0.439 0.094 0.317 S
0.561 0.906 0.683 S
0.784 0.784 0.317 S
0.906 0.561 0.683 S
```

E_tot, eV per atom: -5.26
E_form (uncorrected), eV per atom: -1.8181
Fermi-level density of states, states/eV/f.u.: 0.00

***

Here is MgAl2Hg2 after structural relaxation from Alexandria via LeMat-Bulk. Energies are from GGA-PBE.

The structure in POSCAR format:
```
MgAl2Hg2
1.0
7.556 0.000 0.000
0.000 7.556 0.000
0.000 0.000 3.789
Mg Al Hg
2 4 4
direct
0.000 0.000 0.000 Mg
0.500 0.500 0.000 Mg
0.123 0.377 0.000 Al
0.377 0.877 0.000 Al
0.623 0.123 0.000 Al
0.877 0.623 0.000 Al
0.184 0.684 0.500 Hg
0.316 0.184 0.500 Hg
0.684 0.816 0.500 Hg
0.816 0.316 0.500 Hg
```

E_tot, eV per atom: -1.83
Distance to the lowest polymorph of the same formula, eV/atom: 0.052
ΔE_f, meV per atom: 111
Fermi-level density of states, states/eV/f.u.: 1.75

***

Here is KCuCl2O after structural relaxation from Alexandria via LeMat-Bulk. Energies are from GGA-PBE.

The structure in POSCAR format:
```
KCuCl2O
1.0
5.183 0.000 0.000
0.000 5.183 0.000
0.000 0.000 3.666
K Cu Cl O
1 1 2 1
direct
0.000 0.000 0.000 K
0.500 0.500 0.500 Cu
0.000 0.500 0.500 Cl
0.500 0.000 0.500 Cl
0.500 0.500 0.000 O
```

E_tot, eV per atom: -3.63
E_form (uncorrected), eV per atom: -0.8591
Fermi-level density of states, states/eV/f.u.: 3.71

***

Here is Mg2Tl after structural relaxation from Alexandria via LeMat-Bulk. Energies are from GGA-PBE.

The structure in POSCAR format:
```
Mg2Tl
1.0
7.166 0.000 0.000
0.000 7.166 0.000
0.000 0.000 3.543
Mg Tl
4 2
direct
0.225 0.225 0.000 Mg
0.275 0.725 0.500 Mg
0.725 0.275 0.500 Mg
0.775 0.775 0.000 Mg
0.000 0.000 0.500 Tl
0.500 0.500 0.000 Tl
```

E_tot, eV per atom: -1.64
ΔE_f, meV per atom: 212
Fermi-level density of states, states/eV/f.u.: 0.69

***

Here is YZnB after structural relaxation from Alexandria via LeMat-Bulk. Energies are from GGA-PBE.

The structure in POSCAR format:
```
YZnB
1.0
3.253 0.000 0.000
-1.624 4.790 0.000
-0.010 -1.196 6.650
Y Zn B
2 2 2
direct
0.000 0.000 0.000 Y
0.199 0.398 0.637 Y
0.465 0.930 0.365 Zn
0.747 0.495 0.257 Zn
0.473 0.947 0.692 B
0.914 0.830 0.612 B
```

E_tot, eV per atom: -5.02
Distance to the lowest polymorph of the same formula, eV/atom: 0.154
ΔE_f, meV per atom: -219
Fermi-level density of states, states/eV/f.u.: 1.36

***

Here is DyAsHRh2 after structural relaxation from Alexandria via LeMat-Bulk. Energies are from GGA-PBE.

The structure in POSCAR format:
```
DyAsHRh2
1.0
1.934 -5.319 0.000
1.934 5.319 0.000
0.000 0.000 7.230
Dy As H Rh
2 2 2 4
direct
0.054 0.946 0.750 Dy
0.946 0.054 0.250 Dy
0.226 0.774 0.250 As
0.774 0.226 0.750 As
0.500 0.500 0.000 H
0.500 0.500 0.500 H
0.343 0.657 0.552 Rh
0.343 0.657 0.948 Rh
0.657 0.343 0.052 Rh
0.657 0.343 0.448 Rh
```

E_tot, eV per atom: -6.26
Fermi-level density of states, states/eV/f.u.: 1.78

***

Here is Na2PuScO4 after structural relaxation from Alexandria via LeMat-Bulk. Energies are from GGA-PBE.

The structure in POSCAR format:
```
Na2PuScO4
1.0
5.808 0.000 0.000
0.000 3.362 0.000
-1.932 0.000 5.557
Na Pu Sc O
2 1 1 4
direct
0.000 0.000 0.000 Na
0.500 0.500 0.000 Na
0.000 0.500 0.500 Pu
0.500 0.000 0.500 Sc
0.255 0.000 0.712 O
0.279 0.500 0.293 O
0.721 0.500 0.707 O
0.745 0.000 0.288 O
```

E_tot, eV per atom: -7.96
E_form (uncorrected), eV per atom: -2.5687
Fermi-level density of states, states/eV/f.u.: 5.25

***

Here is NaYbSiO4 after structural relaxation from Alexandria via LeMat-Bulk. Energies are from GGA-PBE.

The structure in POSCAR format:
```
NaYbSiO4
1.0
11.256 0.000 0.000
0.000 6.480 0.000
0.000 0.000 5.191
Na Yb Si O
4 4 4 16
direct
0.000 0.000 0.000 Na
0.000 0.500 0.000 Na
0.500 0.000 0.500 Na
0.500 0.500 0.500 Na
0.221 0.250 0.499 Yb
0.279 0.750 0.999 Yb
0.721 0.250 0.001 Yb
0.779 0.750 0.501 Yb
0.099 0.750 0.441 Si
0.401 0.250 0.941 Si
0.599 0.750 0.059 Si
0.901 0.250 0.559 Si
0.038 0.250 0.667 O
0.110 0.750 0.753 O
0.170 0.552 0.301 O
0.170 0.948 0.301 O
0.330 0.052 0.801 O
0.330 0.448 0.801 O
0.390 0.250 0.253 O
0.462 0.750 0.167 O
0.538 0.250 0.833 O
0.610 0.750 0.747 O
0.670 0.552 0.199 O
0.670 0.948 0.199 O
0.830 0.052 0.699 O
0.830 0.448 0.699 O
0.890 0.250 0.247 O
0.962 0.750 0.333 O
```

E_tot, eV per atom: -6.67
E_form (uncorrected), eV per atom: -2.6537
Fermi-level density of states, states/eV/f.u.: 11.48

***

Here is AcS2Cl2O6 after structural relaxation from Alexandria via LeMat-Bulk. Energies are from GGA-PBE.

The structure in POSCAR format:
```
AcS2Cl2O6
1.0
6.463 0.000 0.000
-3.231 5.597 0.000
0.000 0.000 6.306
Ac S Cl O
1 2 2 6
direct
0.000 0.000 0.000 Ac
0.333 0.667 0.898 S
0.667 0.333 0.102 S
0.333 0.667 0.267 Cl
0.667 0.333 0.733 Cl
0.207 0.413 0.828 O
0.207 0.793 0.828 O
0.413 0.207 0.172 O
0.587 0.793 0.828 O
0.793 0.207 0.172 O
0.793 0.587 0.172 O
```

E_tot, eV per atom: -5.66
E_form (uncorrected), eV per atom: -1.4911
Fermi-level density of states, states/eV/f.u.: 4.83

***

Q: Number 11 is which compound?
A: NaYbSiO4